Record 1
14
Lattice="5.995 -0.434 1.038 1.576 5.801 1.038 2.456 1.741 9.742" Properties=species:S:1:pos:R:3 comment="TlIClO4 PBE relaxed" m_tot_mub_per_fu=0.00 dos_ef_per_ev_cell=2.14 formation_energy_uncorrected_ev_per_atom=-0.263 e_tot_ry_per_atom=-0.2881 pbc="T T T"
Tl 3.163 2.242 7.977
Tl 6.864 4.865 3.842
I 6.559 4.649 7.799
I 3.469 2.458 4.020
Cl 1.332 0.944 0.735
Cl 8.696 6.164 11.084
O 2.819 1.998 5.691
O 7.209 5.110 6.128
O 2.196 3.417 3.083
O 4.929 3.493 4.335
O 6.076 6.168 8.735
O 3.952 0.940 3.083
O 5.099 3.614 7.484
O 7.832 3.690 8.735

Record 2
8
Lattice="7.343 0.000 0.000 0.000 7.343 0.000 3.672 3.672 2.590" Properties=species:S:1:pos:R:3 comment="AgIrOs2 PBE relaxed" m_tot_mub_per_fu=0.00 dos_ef_per_ev_cell=6.68 delta_e_f_mev_per_atom=1112 e_tot_ry_per_atom=-0.5461 pbc="T T T"
Ir 0.000 0.000 0.000
Ir 7.343 3.672 1.295
Os 5.864 1.836 0.647
Os 1.479 5.507 0.647
Os 5.507 5.151 1.942
Os 9.179 9.536 1.942
Ag 3.672 3.672 0.000
Ag 3.672 7.343 1.295